First-principles (PBE-GGA) data for NaReIrAu after structural relaxation, as listed in the Open Quantum Materials Database.

Unit cell a=4.500 b=4.500 c=4.500 alpha=60.00 beta=60.00 gamma=60.00
Fractional coordinates of all 4 atoms:
Na  0.750  0.750  0.750
Re  0.250  0.250  0.250
Au  0.500  0.500  0.500
Ir  0.000  0.000  0.000

Properties
- crystal system = cubic
- polymorph energy (0 for the lowest one) (eV/atom) = 0.004
- calculated total energy (eV/atom) = -5.842


First-principles (PBE-GGA) data for BaTaPtAu after structural relaxation, as listed in the Open Quantum Materials Database.

Unit cell a=4.905 b=4.905 c=4.905 alpha=60.00 beta=60.00 gamma=60.00
Fractional coordinates of all 4 atoms:
Ta  0.250  0.250  0.250
Ba  0.000  0.000  0.000
Pt  0.500  0.500  0.500
Au  0.750  0.750  0.750

Properties
- crystal system = cubic
- polymorph energy (0 for the lowest one) (eV/atom) = 0.056
- calculated total energy (eV/atom) = -5.350


First-principles (PBE-GGA) data for Dy2Pt after structural relaxation, as listed in the Open Quantum Materials Database.

Unit cell a=5.846 b=5.846 c=5.846 alpha=60.00 beta=60.00 gamma=60.00
Fractional coordinates of all 6 atoms:
Dy  0.625  0.625  0.125
Dy  0.625  0.625  0.625
Dy  0.625  0.125  0.625
Dy  0.125  0.625  0.625
Pt  0.250  0.250  0.250
Pt  0.000  0.000  0.000

Properties
- crystal system = cubic
- calculated formation energy (eV/atom) = 0.297
- calculated total energy (eV/atom) = -4.789


First-principles (PBE-GGA) data for SrAsPdO after structural relaxation, as listed in the Open Quantum Materials Database.

Unit cell a=4.779 b=4.779 c=7.102 alpha=90.00 beta=90.00 gamma=90.00
Fractional coordinates of all 8 atoms:
Sr  0.000  0.000  0.500
Sr  0.500  0.500  0.500
Pd  0.500  0.000  0.073
Pd  0.000  0.500  0.927
As  0.500  0.000  0.746
As  0.000  0.500  0.254
O  0.000  0.000  0.000
O  0.500  0.500  0.000

Properties
- crystal system = tetragonal
- polymorph energy (0 for the lowest one) (eV/atom) = 1.429
- calculated total energy (eV/atom) = -3.990


First-principles (PBE-GGA) data for Pr2DyMg3Pt3 after structural relaxation, as listed in the Open Quantum Materials Database.

Unit cell a=4.123 b=7.505 c=7.505 alpha=119.97 beta=90.00 gamma=90.00
Fractional coordinates of all 9 atoms:
Dy  0.000  0.592  0.592
Pr  0.000  0.999  0.413
Pr  0.000  0.413  0.999
Mg  0.500  0.996  0.758
Mg  0.500  0.244  0.244
Mg  0.500  0.758  0.996
Pt  0.500  0.663  0.342
Pt  0.000  0.992  0.992
Pt  0.500  0.342  0.663

Properties
- crystal system = orthorhombic
- calculated total energy (eV/atom) = -5.018


First-principles (PBE-GGA) data for ErTlGeS3 after structural relaxation, as listed in the Open Quantum Materials Database.

Unit cell a=7.818 b=7.818 c=10.858 alpha=90.00 beta=90.00 gamma=151.19
Fractional coordinates of all 12 atoms:
S  0.014  0.986  0.750
S  0.623  0.377  0.506
S  0.377  0.623  0.006
S  0.377  0.623  0.494
S  0.623  0.377  0.994
S  0.986  0.014  0.250
Tl  0.699  0.301  0.250
Tl  0.301  0.699  0.750
Ge  0.619  0.381  0.750
Ge  0.381  0.619  0.250
Er  0.000  0.000  0.000
Er  0.000  0.000  0.500

Properties
- crystal system = orthorhombic
- polymorph energy (0 for the lowest one) (eV/atom) = 0.117
- calculated total energy (eV/atom) = -4.947